[1]
The following is a PBE calculation of a relaxed structure of PmDy2TmP4, from Alexandria.

POSCAR file:
```
PmDy2TmP4
1.0
6.969 0.000 0.000
0.000 4.027 0.000
-2.323 0.000 6.572
Pm Dy Tm P
1 2 1 4
Cartesian
0.000 0.000 0.000 Pm
-1.162 2.013 3.286 Dy
2.323 0.000 3.286 Dy
3.485 2.013 0.000 Tm
0.035 0.000 4.929 P
1.196 2.013 1.669 P
3.450 2.013 4.903 P
4.611 0.000 1.643 P
```

* formation energy from the elements: -1.59 eV per atom
* V: 23.053 Å³ per atom

[2]
The following is a PBE calculation of a relaxed structure of BeAg4Os, from Alexandria.

POSCAR file:
```
BeAg4Os
1.0
0.000 3.730 3.730
3.730 0.000 3.730
3.730 3.730 0.000
Be Ag Os
1 4 1
Cartesian
0.000 0.000 0.000 Be
2.797 2.797 2.797 Ag
4.662 4.662 2.797 Ag
4.662 2.797 4.662 Ag
2.797 4.662 4.662 Ag
5.595 5.595 5.595 Os
```

* formation energy from the elements: 1.01 eV per atom
* V: 17.298 Å³ per atom

[3]
The following is a PBE calculation of a relaxed structure of La6BS2Br3, from Alexandria.

POSCAR file:
```
La6BS2Br3
1.0
3.595 -6.232 0.000
3.595 6.232 0.000
-2.398 0.000 7.429
La B S Br
6 1 2 3
Cartesian
1.146 1.984 1.487 La
-0.106 0.000 5.934 La
1.146 -1.984 1.487 La
3.646 1.984 5.942 La
4.898 0.000 1.495 La
3.646 -1.984 5.942 La
0.000 0.000 0.000 B
3.595 2.078 0.000 S
3.595 -2.078 0.000 S
2.396 4.143 3.715 Br
2.396 0.000 3.715 Br
2.396 -4.143 3.715 Br
```

* raw formation energy: -17.72 eV/f.u.
* V: 27.741 Å³ per atom

[4]
The following is a PBE calculation of a relaxed structure of CuIrBr2, from Alexandria.

POSCAR file:
```
CuIrBr2
1.0
3.287 0.000 0.000
0.000 3.287 0.000
0.000 0.000 6.726
Cu Ir Br
1 1 2
Cartesian
0.000 0.000 0.000 Cu
0.000 0.000 3.363 Ir
1.643 1.643 1.697 Br
1.643 1.643 5.029 Br
```

* raw formation energy: 3.90 eV/f.u.
* V: 18.162 Å³ per atom

Q: What is the formula in the second record?
A: BeAg4Os

What did the second record say?
The following is a PBE calculation of a relaxed structure of BeAg4Os, from Alexandria.

POSCAR file:
```
BeAg4Os
1.0
0.000 3.730 3.730
3.730 0.000 3.730
3.730 3.730 0.000
Be Ag Os
1 4 1
Cartesian
0.000 0.000 0.000 Be
2.797 2.797 2.797 Ag
4.662 4.662 2.797 Ag
4.662 2.797 4.662 Ag
2.797 4.662 4.662 Ag
5.595 5.595 5.595 Os
```

* formation energy from the elements: 1.01 eV per atom
* V: 17.298 Å³ per atom

Please write out number 2 again, unchanged.
The following is a PBE calculation of a relaxed structure of BeAg4Os, from Alexandria.

POSCAR file:
```
BeAg4Os
1.0
0.000 3.730 3.730
3.730 0.000 3.730
3.730 3.730 0.000
Be Ag Os
1 4 1
Cartesian
0.000 0.000 0.000 Be
2.797 2.797 2.797 Ag
4.662 4.662 2.797 Ag
4.662 2.797 4.662 Ag
2.797 4.662 4.662 Ag
5.595 5.595 5.595 Os
```

* formation energy from the elements: 1.01 eV per atom
* V: 17.298 Å³ per atom

Q: What is the V in the fourth record?
A: 18.162 Å³ per atom